1.
ScTeRh2Cl PBE optimized geometry; density of states at the Fermi level = 3.59 states/eV/cell; calculated total energy = -5.260 eV per atom; formation energy (no corrections) = -0.06 eV/atom
1.0
4.500 0.000 0.000
0.000 4.500 0.000
0.000 0.000 4.787
Sc Te Rh Cl
1 1 2 1
Cartesian
0.000 0.000 0.000
2.250 2.250 0.000
0.000 2.250 2.394
2.250 0.000 2.394
0.000 0.000 2.394


2.
YSc2RhCl PBE optimized geometry; density of states at the Fermi level = 6.50 states/eV/cell; calculated total energy = -5.681 eV per atom; formation energy (no corrections) = -0.02 eV/atom
1.0
4.930 0.000 0.000
0.000 4.930 0.000
0.000 0.000 5.359
Y Sc Rh Cl
1 2 1 1
Cartesian
0.000 0.000 0.000
0.000 2.465 2.679
2.465 0.000 2.679
2.465 2.465 2.679
2.465 2.465 0.000


3.
Zr2ScRhCl PBE optimized geometry; density of states at the Fermi level = 3.18 states/eV/cell; calculated total energy = -6.642 eV per atom; formation energy (no corrections) = -0.12 eV/atom
1.0
4.731 0.000 0.000
0.000 4.731 0.000
0.000 0.000 4.608
Zr Sc Rh Cl
2 1 1 1
Cartesian
0.000 2.365 0.000
2.365 0.000 0.000
0.000 0.000 2.304
2.365 2.365 2.304
0.000 0.000 0.000


4.
RhSeCl4 PBE optimized geometry; density of states at the Fermi level = 7.41 states/eV/cell; calculated total energy = -1.873 eV per atom; formation energy (no corrections) = 1.16 eV/atom
1.0
0.000 4.082 4.082
4.082 0.000 4.082
4.082 4.082 0.000
Rh Se Cl
1 1 4
Cartesian
0.000 0.000 0.000
6.122 6.122 6.122
3.052 3.052 3.052
5.111 5.111 3.052
5.111 3.052 5.111
3.052 5.111 5.111